Model i:
SrTaCo2: PBEsol geometry, SCAN.

Properties
Its space group is Fm-3m, No. 225. For the theoretical density, the calculation gives 9866 kg/m³.

abc: 4.514 4.514 4.514
angles: 60.00 60.00 60.00
Atoms (fractional coordinates):
Sr  0.000  0.000  0.000
Ta  0.500  0.500  0.500
Co  0.250  0.250  0.250
Co  0.750  0.750  0.750

---

Model ii:
SrTaCo2: PBEsol geometry, SCAN.

Properties
Its space group is P4/mmm, No. 123. For the theoretical density, the calculation gives 9416 kg/m³.

abc: 3.082 3.082 7.177
angles: 90.00 90.00 90.00
Atoms (fractional coordinates):
Sr  0.000  0.000  0.000
Ta  0.000  0.000  0.500
Co  0.500  0.500  0.317
Co  0.500  0.500  0.683

---

Most stable structure - model ii; separation to the second - 513 meV/atom.

---

Model i:
Sr2CoTc: PBEsol geometry, SCAN.

Properties
Its space group is F-43m, No. 216. For the theoretical density, the calculation gives 6370 kg/m³.

abc: 4.966 4.966 4.966
angles: 60.00 60.00 60.00
Atoms (fractional coordinates):
Sr  0.000  0.000  0.000
Sr  0.250  0.250  0.250
Co  0.500  0.500  0.500
Tc  0.750  0.750  0.750

---

Model ii:
Sr2CoTc: PBEsol geometry, SCAN.

Properties
Its space group is Cmmm, No. 65. For the theoretical density, the calculation gives 6026 kg/m³.

abc: 5.147 5.147 3.576
angles: 90.00 90.00 104.92
Atoms (fractional coordinates):
Sr  0.000  0.500  0.000
Sr  0.500  0.000  0.000
Co  0.000  0.000  0.500
Tc  0.500  0.500  0.500

---

Model iii:
Sr2CoTc: PBEsol geometry, SCAN.

Properties
Its space group is Fm-3m, No. 225. For the theoretical density, the calculation gives 5797 kg/m³.

abc: 5.124 5.124 5.124
angles: 60.00 60.00 60.00
Atoms (fractional coordinates):
Sr  0.250  0.250  0.250
Sr  0.750  0.750  0.750
Co  0.000  0.000  0.000
Tc  0.500  0.500  0.500

---

Most stable structure - model iii; separation to the second - 27 meV/atom.

---

Model i:
SrCoTc2: PBEsol geometry, SCAN.

Properties
Its space group is P4mm, No. 99. For the theoretical density, the calculation gives 8146 kg/m³.

abc: 3.082 3.082 7.352
angles: 90.00 90.00 90.00
Atoms (fractional coordinates):
Sr  0.000  0.000  0.000
Co  0.500  0.500  0.689
Tc  0.000  0.000  0.512
Tc  0.500  0.500  0.332

---

Model ii:
SrCoTc2: PBEsol geometry, SCAN.

Properties
Its space group is P4/mmm, No. 123. For the theoretical density, the calculation gives 8911 kg/m³.

abc: 4.478 4.478 3.183
angles: 90.00 90.00 90.00
Atoms (fractional coordinates):
Sr  0.000  0.000  0.000
Co  0.500  0.500  0.000
Tc  0.000  0.500  0.500
Tc  0.500  0.000  0.500

---

Model iii:
SrCoTc2: PBEsol geometry, SCAN.

Properties
Its space group is C2/m, No. 12. For the theoretical density, the calculation gives 8812 kg/m³.

abc: 5.536 5.536 2.629
angles: 98.04 98.04 123.06
Atoms (fractional coordinates):
Sr  0.000  0.000  0.000
Co  0.500  0.500  0.000
Tc  0.000  0.500  0.500
Tc  0.500  0.000  0.500

---

Most stable structure - model i; separation to the second - 529 meV/atom.